# Ta3CrH4

An optimized crystal structure of Ta3CrH4 (PBE-GGA, the Alexandria database).

## Properties
space-group type = No. 31
calculated total energy = -7.28 eV per atom
ρ = 12511 kg/m³

Unit cell a=5.6099 b=5.4022 c=5.2454 alpha=90.00 beta=90.00 gamma=90.00
Closest atoms and distances in Å follow each position.
Atoms (fractional coordinates):
1 Ta 0.0000 0.1480 0.0000  4 H 1.91-1.92
2 Ta 0.2478 0.3454 0.5051  4 H 1.90-1.95
3 Ta 0.2522 0.6546 0.0051  4 H 1.90-1.95
4 Ta 0.5000 0.8520 0.5000  4 H 1.91-1.92
5 Ta 0.7478 0.6546 0.0051  4 H 1.90-1.95
6 Ta 0.7522 0.3454 0.5051  4 H 1.90-1.95
7 Cr 0.0000 0.8364 0.5034  4 H 1.71-1.74
8 Cr 0.5000 0.1636 0.0034  4 H 1.71-1.74
9 H 0.0000 0.1303 0.6373  1 Cr 1.74, 3 Ta 1.91-1.94
10 H 0.0000 0.8365 0.1774  1 Cr 1.71
11 H 0.2346 0.6765 0.6441  1 Cr 1.74, 3 Ta 1.90-1.93
12 H 0.2654 0.3235 0.1441  1 Cr 1.74, 3 Ta 1.90-1.93
13 H 0.5000 0.1635 0.6774  1 Cr 1.71
14 H 0.5000 0.8697 0.1373  1 Cr 1.74, 3 Ta 1.91-1.94
15 H 0.7346 0.3235 0.1441  1 Cr 1.74, 3 Ta 1.90-1.93
16 H 0.7654 0.6765 0.6441  1 Cr 1.74, 3 Ta 1.90-1.93